First-principles (PBE) data for crystalline NpNiH8Ir2 at its relaxed geometry, as listed in Alexandria.

Calculated values
The value obtained for the uncorrected energy is -5.223 eV per atom.

Cell lengths 4.7844, 4.7844, 5.7788 Å; angles 90.00, 90.00, 120.00 degrees
Closest atoms and distances in Å follow each position.
Fractional coordinates of all 12 atoms:
Np1 0.0000 0.0000 0.5000  6 H 2.38
Ni1 0.0000 0.0000 0.0000  6 H 1.70
H1 0.8315 0.1685 0.1664  1 Ni 1.70, 1 Ir 1.78
H2 0.8315 0.6630 0.1664  1 Ni 1.70, 1 Ir 1.78
H3 0.3370 0.1685 0.1664  1 Ni 1.70, 1 Ir 1.78
H4 0.6630 0.8315 0.8336  1 Ni 1.70, 1 Ir 1.78
H5 0.3333 0.6667 0.3539  1 Ir 1.63
H6 0.6667 0.3333 0.6461  1 Ir 1.63
H7 0.1685 0.8315 0.8336  1 Ni 1.70, 1 Ir 1.78
H8 0.1685 0.3370 0.8336  1 Ni 1.70, 1 Ir 1.78
Ir1 0.6667 0.3333 0.3638  4 H 1.63-1.78
Ir2 0.3333 0.6667 0.6362  4 H 1.63-1.78